# 1
Entry from Alexandria: an optimized crystal structure of Tm2PuN (PBE).

Results
- crystal system = tetragonal
- E_form (uncorrected) (eV per atom) = -0.203

Unit cell a=3.0674 b=3.0674 c=8.6252 alpha=90.00 beta=90.00 gamma=90.00
With the nearest neighbours (Å) after each atom.
Element x y z (fractional)
Tm 0.0000 0.0000 0.1635  4 N 2.59, 1 Tm 2.82
Tm 0.0000 0.0000 0.8365  4 N 2.59, 1 Tm 2.82
Pu 0.5000 0.5000 0.5000  4 Pu 3.07
N 0.5000 0.5000 0.0000  8 Tm 2.59


# 2
Entry from Alexandria: an optimized crystal structure of Tl2GaTe2 (PBE).

Results
- crystal system = orthorhombic
- E_form (uncorrected) (eV per atom) = -0.270

Unit cell a=8.4277 b=8.4277 c=9.7461 alpha=90.00 beta=90.00 gamma=148.79
With the nearest neighbours (Å) after each atom.
Element x y z (fractional)
Tl 0.1041 0.8959 0.5000  3 Te 3.26-3.32, 1 Tl 3.56
Tl 0.1749 0.8251 0.8452  5 Te 3.38-3.49, 1 Tl 3.56
Tl 0.8251 0.1749 0.3452  5 Te 3.38-3.49, 1 Tl 3.56
Tl 0.8959 0.1041 0.0000  3 Te 3.26-3.32, 1 Tl 3.56
Ga 0.4151 0.5849 0.6528  4 Te 2.80-2.86
Ga 0.5849 0.4151 0.1528  4 Te 2.80-2.86
Te 0.1898 0.8102 0.1912  2 Ga 2.86
Te 0.4792 0.5208 0.3800  2 Ga 2.80-2.86
Te 0.5208 0.4792 0.8800  2 Ga 2.80-2.86
Te 0.8102 0.1898 0.6912  2 Ga 2.86


# 3
Entry from Alexandria: an optimized crystal structure of Y5Ga4Ag (PBE).

Results
- crystal system = tetragonal
- energy of formation from the pure elements (eV per atom) = -0.55

Unit cell a=3.5724 b=3.5724 c=18.2004 alpha=90.00 beta=90.00 gamma=90.00
With the nearest neighbours (Å) after each atom.
Element x y z (fractional)
Y 0.0000 0.0000 0.0000  8 Ga 3.10
Y 0.0000 0.0000 0.1976  8 Ga 3.10-3.12
Y 0.0000 0.0000 0.3955  4 Ga 3.08, 4 Ag 3.16
Y 0.0000 0.0000 0.6045  4 Ga 3.08, 4 Ag 3.16
Y 0.0000 0.0000 0.8024  8 Ga 3.10-3.12
Ga 0.5000 0.5000 0.0985  8 Y 3.10
Ga 0.5000 0.5000 0.2983  8 Y 3.08-3.12
Ga 0.5000 0.5000 0.7017  8 Y 3.08-3.12
Ga 0.5000 0.5000 0.9015  8 Y 3.10
Ag 0.5000 0.5000 0.5000  8 Y 3.16


# 4
Entry from Alexandria: an optimized crystal structure of Ce2Fe3Co (PBE).

Results
- crystal system = monoclinic
- energy of formation from the pure elements (eV per atom) = -0.12

Unit cell a=8.5882 b=4.9746 c=5.1698 alpha=90.00 beta=123.51 gamma=90.00
With the nearest neighbours (Å) after each atom.
Element x y z (fractional)
Ce 0.1259 0.0000 0.3774  3 Co 2.91-2.92, 9 Fe 2.96-3.04, 4 Ce 3.05-3.25
Ce 0.3741 0.5000 0.6226  3 Co 2.91-2.92, 9 Fe 2.96-3.04, 4 Ce 3.05-3.25
Ce 0.6259 0.5000 0.3774  3 Co 2.91-2.92, 9 Fe 2.96-3.04, 4 Ce 3.05-3.25
Ce 0.8741 0.0000 0.6226  3 Co 2.91-2.92, 9 Fe 2.96-3.04, 4 Ce 3.05-3.25
Fe 0.0000 0.5000 0.0000  4 Fe 2.48, 2 Co 2.58
Fe 0.2500 0.2500 0.0000  4 Fe 2.48-2.49, 2 Co 2.59
Fe 0.2500 0.7500 0.0000  4 Fe 2.48-2.49, 2 Co 2.59
Fe 0.5000 0.0000 0.0000  4 Fe 2.48, 2 Co 2.58
Fe 0.7500 0.2500 0.0000  4 Fe 2.48-2.49, 2 Co 2.59
Fe 0.7500 0.7500 0.0000  4 Fe 2.48-2.49, 2 Co 2.59
Co 0.0000 0.5000 0.5000  6 Fe 2.58-2.59
Co 0.5000 0.0000 0.5000  6 Fe 2.58-2.59


# 5
Entry from Alexandria: an optimized crystal structure of La2Sn2Hg (PBE).

Results
- crystal system = tetragonal
- energy of formation from the pure elements (eV per atom) = -0.39

Unit cell a=4.2936 b=4.2936 c=17.1482 alpha=90.00 beta=90.00 gamma=90.00
With the nearest neighbours (Å) after each atom.
Element x y z (fractional)
La 0.0000 0.0000 0.0989  4 Sn 3.36, 1 La 3.39, 4 Hg 3.48
La 0.0000 0.0000 0.9011  4 Sn 3.36, 1 La 3.39, 4 Hg 3.48
La 0.5000 0.5000 0.4011  4 Sn 3.36, 1 La 3.39, 4 Hg 3.48
La 0.5000 0.5000 0.5989  4 Sn 3.36, 1 La 3.39, 4 Hg 3.48
Sn 0.0000 0.5000 0.2500  4 Sn 3.04, 4 La 3.36
Sn 0.0000 0.5000 0.7500  4 Sn 3.04, 4 La 3.36
Sn 0.5000 0.0000 0.2500  4 Sn 3.04, 4 La 3.36
Sn 0.5000 0.0000 0.7500  4 Sn 3.04, 4 La 3.36
Hg 0.0000 0.0000 0.5000  8 La 3.48
Hg 0.5000 0.5000 0.0000  8 La 3.48


# 6
Entry from Alexandria: an optimized crystal structure of Nb8SiC2 (PBE).

Results
- crystal system = monoclinic
- E_form (uncorrected) (eV per atom) = -0.085

Unit cell a=6.3251 b=6.3251 c=4.6937 alpha=97.13 beta=97.13 gamma=111.31
With the nearest neighbours (Å) after each atom.
Element x y z (fractional)
Nb 0.1137 0.1137 0.7918  2 C 2.40
Nb 0.1647 0.4282 0.3959  2 C 2.34-2.39
Nb 0.2497 0.7503 0.0000  2 C 2.44, 1 Si 2.61
Nb 0.4282 0.1647 0.3959  2 C 2.34-2.39
Nb 0.5718 0.8353 0.6041  2 C 2.34-2.39
Nb 0.7503 0.2497 0.0000  2 C 2.44, 1 Si 2.61
Nb 0.8353 0.5718 0.6041  2 C 2.34-2.39
Nb 0.8863 0.8863 0.2082  2 C 2.40
Si 0.5000 0.5000 0.0000  4 Nb 2.61-2.72
C 0.1845 0.8155 0.5000  8 Nb 2.34-2.44
C 0.8155 0.1845 0.5000  8 Nb 2.34-2.44


# 7
Entry from Alexandria: an optimized crystal structure of FeBRu (PBE).

Results
- crystal system = orthorhombic
- energy of formation from the pure elements (eV per atom) = -0.11

Unit cell a=10.3592 b=2.9256 c=4.2712 alpha=90.00 beta=90.00 gamma=90.00
With the nearest neighbours (Å) after each atom.
Element x y z (fractional)
Fe 0.0270 0.2500 0.2494  3 B 2.08-2.11
Fe 0.4730 0.7500 0.7494  3 B 2.08-2.11
Fe 0.5270 0.2500 0.2506  3 B 2.08-2.11
Fe 0.9730 0.7500 0.7506  3 B 2.08-2.11
B 0.1391 0.7500 0.4657  3 Fe 2.08-2.11, 4 Ru 2.15-2.29
B 0.3609 0.2500 0.9657  3 Fe 2.08-2.11, 4 Ru 2.15-2.29
B 0.6391 0.7500 0.0343  3 Fe 2.08-2.11, 4 Ru 2.15-2.29
B 0.8609 0.2500 0.5343  3 Fe 2.08-2.11, 4 Ru 2.15-2.29
Ru 0.2087 0.7500 0.9578  4 B 2.15-2.29
Ru 0.2913 0.2500 0.4578  4 B 2.15-2.29
Ru 0.7087 0.7500 0.5422  4 B 2.15-2.29
Ru 0.7913 0.2500 0.0422  4 B 2.15-2.29


# 8
Entry from Alexandria: an optimized crystal structure of AlC2 (PBE).

Results
- crystal system = trigonal
- energy of formation from the pure elements (eV per atom) = 1.15

Unit cell a=5.3276 b=5.3276 c=4.1523 alpha=90.00 beta=90.00 gamma=120.00
With the nearest neighbours (Å) after each atom.
Element x y z (fractional)
Al 0.0000 0.0000 0.0000  6 C 2.12
Al 0.3333 0.6667 0.5000  6 C 2.08
Al 0.6667 0.3333 0.5000  6 C 2.08
C 0.0000 0.2489 0.3972  2 C 1.58
C 0.0000 0.7511 0.6028  2 C 1.58
C 0.2489 0.0000 0.3972  2 C 1.58
C 0.2489 0.2489 0.6028  2 C 1.58
C 0.7511 0.0000 0.6028  2 C 1.58
C 0.7511 0.7511 0.3972  2 C 1.58


# 9
Entry from Alexandria: an optimized crystal structure of AcLa5TbPr2 (PBE).

Results
- crystal system = tetragonal
- energy of formation from the pure elements (eV per atom) = 0.23

Unit cell a=10.2528 b=10.2528 c=10.2528 alpha=126.60 beta=126.60 gamma=78.91
With the nearest neighbours (Å) after each atom.
Element x y z (fractional)
Ac 0.2500 0.2500 0.0000  10 La 3.79-3.96
Ac 0.7500 0.7500 0.0000  10 La 3.79-3.96
La 0.0000 0.0000 0.0000  4 Pr 3.69, 8 La 3.94, 2 Ac 3.96
La 0.0677 0.5677 0.9037  1 Pr 3.17, 1 Tb 3.21
La 0.1640 0.0677 0.5000  1 Pr 3.17, 1 Tb 3.21
La 0.3360 0.8360 0.9037  1 Pr 3.17, 1 Tb 3.21
La 0.4323 0.3360 0.5000  1 Pr 3.17, 1 Tb 3.21
La 0.5000 0.5000 0.0000  4 Pr 3.69, 8 La 3.94, 2 Ac 3.96
La 0.5677 0.6640 0.5000  1 Pr 3.17, 1 Tb 3.21
La 0.6640 0.1640 0.0963  1 Pr 3.17, 1 Tb 3.21
La 0.8360 0.9323 0.5000  1 Pr 3.17, 1 Tb 3.21
La 0.9323 0.4323 0.0963  1 Pr 3.17, 1 Tb 3.21
Tb 0.2500 0.7500 0.5000  4 La 3.21
Tb 0.7500 0.2500 0.5000  4 La 3.21
Pr 0.1172 0.3828 0.5000  1 Pr 3.05, 2 La 3.17
Pr 0.3828 0.8828 0.2657  1 Pr 3.05, 2 La 3.17
Pr 0.6172 0.1172 0.7343  1 Pr 3.05, 2 La 3.17
Pr 0.8828 0.6172 0.5000  1 Pr 3.05, 2 La 3.17


# 10
Entry from Alexandria: an optimized crystal structure of PSe2O8 (PBE).

Results
- crystal system = monoclinic
- E_form (uncorrected) (eV per atom) = -0.605

Unit cell a=6.2507 b=6.2507 c=4.8478 alpha=108.81 beta=108.81 gamma=76.84
With the nearest neighbours (Å) after each atom.
Element x y z (fractional)
P 0.0000 0.0000 0.0000  6 O 1.65-1.73
Se 0.2834 0.2834 0.4240  1 O 1.64
Se 0.7166 0.7166 0.5760  1 O 1.64
O 0.0260 0.7192 0.7831  1 P 1.73, 1 Se 1.87
O 0.0841 0.0841 0.7657  1 P 1.65
O 0.2808 0.9740 0.2169  1 P 1.73, 1 Se 1.87
O 0.3785 0.3785 0.2146  1 Se 1.64
O 0.6215 0.6215 0.7854  1 Se 1.64
O 0.7192 0.0260 0.7831  1 P 1.73, 1 Se 1.87
O 0.9159 0.9159 0.2343  1 P 1.65
O 0.9740 0.2808 0.2169  1 P 1.73, 1 Se 1.87


# 11
Entry from Alexandria: an optimized crystal structure of MgPtOF2 (PBE).

Results
- crystal system = tetragonal
- E_form (uncorrected) (eV per atom) = -0.855

Unit cell a=4.3485 b=4.3485 c=3.9899 alpha=90.00 beta=90.00 gamma=90.00
With the nearest neighbours (Å) after each atom.
Element x y z (fractional)
Mg 0.0000 0.0000 0.0000  8 F 2.95, 4 O 3.07
Pt 0.5000 0.5000 0.5000  2 O 1.99, 4 F 2.17
O 0.5000 0.5000 0.0000  2 Pt 1.99
F 0.0000 0.5000 0.5000  2 Pt 2.17
F 0.5000 0.0000 0.5000  2 Pt 2.17


# 12
Entry from Alexandria: an optimized crystal structure of LiPu2Fe (PBE).

Results
- crystal system = cubic
- energy of formation from the pure elements (eV per atom) = 0.23

Unit cell a=6.7836 b=6.7836 c=6.7836 alpha=90.00 beta=90.00 gamma=90.00
With the nearest neighbours (Å) after each atom.
Element x y z (fractional)
Li 0.0000 0.0000 0.0000  8 Pu 2.94
Li 0.0000 0.5000 0.5000  8 Pu 2.94
Li 0.5000 0.0000 0.5000  8 Pu 2.94
Li 0.5000 0.5000 0.0000  8 Pu 2.94
Pu 0.2500 0.2500 0.2500  4 Fe 2.94, 4 Li 2.94
Pu 0.2500 0.2500 0.7500  4 Fe 2.94, 4 Li 2.94
Pu 0.2500 0.7500 0.2500  4 Fe 2.94, 4 Li 2.94
Pu 0.2500 0.7500 0.7500  4 Fe 2.94, 4 Li 2.94
Pu 0.7500 0.2500 0.2500  4 Fe 2.94, 4 Li 2.94
Pu 0.7500 0.2500 0.7500  4 Fe 2.94, 4 Li 2.94
Pu 0.7500 0.7500 0.2500  4 Fe 2.94, 4 Li 2.94
Pu 0.7500 0.7500 0.7500  4 Fe 2.94, 4 Li 2.94
Fe 0.0000 0.0000 0.5000  8 Pu 2.94
Fe 0.0000 0.5000 0.0000  8 Pu 2.94
Fe 0.5000 0.0000 0.0000  8 Pu 2.94
Fe 0.5000 0.5000 0.5000  8 Pu 2.94


no.,total magnetization (μB/f.u.)
1,6.324
2,0.000
3,0.000
4,3.656
5,0.000
6,0.000
7,2.210
8,0.000
9,0.000
10,3.007
11,0.000
12,9.966